# BiSe2N PBE relaxed
data_BiSe2N
_space_group_name_H-M_alt 'I -4 2 d'
_space_group_IT_number 122
_space_group_name_Hall 'I -4 2bw'
_cell_length_a 5.848
_cell_length_b 5.848
_cell_length_c 11.187
_cell_angle_alpha 90.00
_cell_angle_beta 90.00
_cell_angle_gamma 90.00
loop_
_atom_site_label
_atom_site_fract_x
_atom_site_fract_y
_atom_site_fract_z
Bi1 0.000 0.000 0.000
Se1 0.110 0.250 0.625
N1 0.000 0.000 0.500
# **Energy relative to the elements, uncorrected**: 0.762 eV per atom